First-principles (PBE-GGA) data for a relaxed structure of Ta2SiAu, as listed in OQMD.

Unit cell a=4.5907 b=4.5907 c=4.5907 alpha=60.00 beta=60.00 gamma=60.00
Last column: nearest neighbours and their distance in Å.
Fractional coordinates of all 4 atoms:
Au: 0.2500 0.2500 0.2500  4 Ta 2.81, 4 Si 2.81
Si: 0.5000 0.5000 0.5000  4 Ta 2.81, 4 Au 2.81
Ta: 0.0000 0.0000 0.0000  4 Ta 2.81, 4 Au 2.81
Ta: 0.7500 0.7500 0.7500  4 Ta 2.81, 4 Si 2.81

Computed properties:
Final energy = -0.2849 hartree per atom
Space-group type = F-43m, No. 216